Compound: Sc3Ni2Ge2
Source: Alexandria via LeMat-Bulk
Functional: PBE
Structure: relaxed

Calculated values
- SG = No. 57
- formation enthalpy at 0 K (kcal/mol of atoms) = -17.1
- M_tot (μB/cell) = 0.00
- Fermi-level density of states (states/eV per atom) = 0.84

Lattice parameters (Å, degrees): 5.326 7.351 12.105 90.00 90.00 90.00
Positions (direct):
Sc1 0.128 0.236 0.250
Sc2 0.128 0.264 0.750
Sc3 0.364 0.595 0.103
Sc4 0.364 0.595 0.397
Sc5 0.364 0.905 0.603
Sc6 0.364 0.905 0.897
Sc7 0.636 0.095 0.103
Sc8 0.636 0.095 0.397
Sc9 0.636 0.405 0.603
Sc10 0.636 0.405 0.897
Sc11 0.872 0.736 0.250
Sc12 0.872 0.764 0.750
Ni1 0.118 0.546 0.589
Ni2 0.118 0.546 0.911
Ni3 0.118 0.954 0.089
Ni4 0.118 0.954 0.411
Ni5 0.882 0.046 0.589
Ni6 0.882 0.046 0.911
Ni7 0.882 0.454 0.089
Ni8 0.882 0.454 0.411
Ge1 0.185 0.250 0.000
Ge2 0.185 0.250 0.500
Ge3 0.361 0.617 0.750
Ge4 0.361 0.883 0.250
Ge5 0.639 0.117 0.750
Ge6 0.639 0.383 0.250
Ge7 0.815 0.750 0.000
Ge8 0.815 0.750 0.500